First-principles (PBE with a Hubbard U) data for a geometry-optimized Ni2RuClO structure, as listed in Alexandria.

Total DFT energy (no corrections) = -3.6814 eV per atom

a b c (Å): 3.6508 5.7662 3.6508
angles (deg): 90.00 90.00 90.00
Last column: nearest neighbours and their distance in Å.
Element x y z (fractional)
1 Ni 0.5000 0.0000 0.0000  2 O 1.83
2 Ni 0.0000 0.0000 0.5000  2 O 1.83
3 Cl 0.0000 0.5000 0.0000  4 Ru 2.58, 2 O 2.88
4 O 0.0000 0.0000 0.0000  4 Ni 1.83
5 Ru 0.5000 0.5000 0.5000  4 Cl 2.58